Computed, not measured: a geometry-optimized DyPaV2O8 structure at the PBE+U level of DFT.

POSCAR file:
```
DyPaV2O8
1.0
-2.949 -3.509 2.363
2.519 0.857 4.417
-3.423 5.265 -2.080
Pa O V Dy
1 8 2 1
Cartesian
-3.293 0.215 1.837
0.175 1.397 4.229
-2.443 3.238 -1.210
-4.207 2.215 0.979
-1.838 4.331 1.198
-0.657 -1.013 5.154
-1.003 -0.306 2.069
-2.347 1.948 2.935
-3.089 -1.358 3.447
-0.559 2.398 2.864
-0.215 -1.326 3.390
0.000 0.000 0.000
```

## Properties
As for the total energy: -8.514 eV per atom. For the total moment, the calculation gives 2.00 μB per formula unit.